A plane-wave DFT calculation with PBE was carried out for a geometry-optimized Tm2HfSc4 structure.

abc: 5.038 5.038 16.247
angles: 90.00 90.00 90.00
Space group I4/mmm (No. 139)
One atom of each set of equivalent atoms:
Tm  0.000  0.000  0.127 (multiplicity 4)
Hf  0.000  0.000  0.500 (multiplicity 2)
Sc  0.000  0.000  0.326 (multiplicity 4)
Sc  0.000  0.500  0.000 (multiplicity 4)

Calculated values
DFT formation energy = 639 meV per atom
ΔE to the lowest computed polymorph = 609 meV per atom